*i*
Here is a relaxed Mg5Ni crystal from Alexandria via LeMat-Bulk. Energies are from PBE.

Computed properties:
The value obtained for the density of states at the Fermi level is 3.8 states/eV/cell. For the volume, the calculation gives 20.2 Å³/atom. Its crystal system is orthorhombic.

The structure in CIF format:
```
data_Mg5Ni
_chemical_formula_sum 'Mg10 Ni2'
_cell_length_a 9.326
_cell_length_b 3.340
_cell_length_c 7.778
_cell_angle_alpha 90.00
_cell_angle_beta 90.00
_cell_angle_gamma 90.00
_symmetry_space_group_name_H-M 'P m m a'
_symmetry_Int_Tables_number 51
_symmetry_space_group_name_Hall '-P 2a 2a'
loop_
_atom_site_label
_atom_site_type_symbol
_atom_site_fract_x
_atom_site_fract_y
_atom_site_fract_z
Mg1 Mg 0.000 0.000 0.000
Mg2 Mg 0.063 0.500 0.316
Mg3 Mg 0.250 0.000 0.568
Mg4 Mg 0.250 0.500 0.914
Ni1 Ni 0.250 0.000 0.179
```



*ii*
Here is a relaxed Mg5Ni crystal from Alexandria via LeMat-Bulk. Energies are from PBE.

Computed properties:
The value obtained for the density of states at the Fermi level is 11.7 states/eV/cell. For the volume, the calculation gives 20.5 Å³/atom. Its crystal system is cubic.

The structure in CIF format:
```
data_Mg5Ni
_chemical_formula_sum 'Mg20 Ni4'
_cell_length_a 7.897
_cell_length_b 7.897
_cell_length_c 7.897
_cell_angle_alpha 90.00
_cell_angle_beta 90.00
_cell_angle_gamma 90.00
_symmetry_space_group_name_H-M 'F -4 3 m'
_symmetry_Int_Tables_number 216
_symmetry_space_group_name_Hall 'F -4 2 3'
loop_
_atom_site_label
_atom_site_type_symbol
_atom_site_fract_x
_atom_site_fract_y
_atom_site_fract_z
Mg1 Mg 0.000 0.000 0.000
Mg2 Mg 0.124 0.124 0.624
Ni1 Ni 0.250 0.250 0.250
```



*iii*
Here is a relaxed Mg5Ni crystal from Alexandria via LeMat-Bulk. Energies are from PBE.

Computed properties:
The value obtained for the density of states at the Fermi level is 5.2 states/eV/cell. For the volume, the calculation gives 19.7 Å³/atom. Its crystal system is orthorhombic.

The structure in CIF format:
```
data_Mg5Ni
_chemical_formula_sum 'Mg10 Ni2'
_cell_length_a 4.820
_cell_length_b 3.052
_cell_length_c 16.050
_cell_angle_alpha 90.00
_cell_angle_beta 90.00
_cell_angle_gamma 90.00
_symmetry_space_group_name_H-M 'A m m 2'
_symmetry_Int_Tables_number 38
_symmetry_space_group_name_Hall 'A 2 -2'
loop_
_atom_site_label
_atom_site_type_symbol
_atom_site_fract_x
_atom_site_fract_y
_atom_site_fract_z
Mg1 Mg 0.000 0.000 0.000
Mg2 Mg 0.000 0.000 0.289
Mg3 Mg 0.500 0.000 0.098
Mg4 Mg 0.500 0.000 0.420
Mg5 Mg 0.500 0.000 0.749
Ni1 Ni 0.000 0.000 0.647
```



The structure with the least stability is *ii*.



*i*
Here is a relaxed Mg5Ni crystal from Alexandria via LeMat-Bulk. Energies are from PBE.

Computed properties:
The value obtained for the density of states at the Fermi level is 0.6 states/eV/cell. For the volume, the calculation gives 19.2 Å³/atom. Its crystal system is hexagonal.

The structure in CIF format:
```
data_Mg5Ni
_chemical_formula_sum 'Mg5 Ni1'
_cell_length_a 5.2699
_cell_length_b 5.2699
_cell_length_c 4.7949
_cell_angle_alpha 90.00
_cell_angle_beta 90.00
_cell_angle_gamma 120.00
_symmetry_space_group_name_H-M 'P -6 2 m'
_symmetry_Int_Tables_number 189
_symmetry_space_group_name_Hall 'P -6 -2'
loop_
_atom_site_label
_atom_site_type_symbol
_atom_site_fract_x
_atom_site_fract_y
_atom_site_fract_z
Mg1 Mg 0.0000 0.6868 0.0000
Mg2 Mg 0.3333 0.6667 0.5000
Ni1 Ni 0.0000 0.0000 0.5000
```



*ii*
Here is a relaxed Mg5Ni crystal from Alexandria via LeMat-Bulk. Energies are from PBE.

Computed properties:
The value obtained for the density of states at the Fermi level is 3.4 states/eV/cell. For the volume, the calculation gives 19.6 Å³/atom. Its crystal system is monoclinic.

The structure in CIF format:
```
data_Mg5Ni
_chemical_formula_sum 'Mg10 Ni2'
_cell_length_a 10.717
_cell_length_b 3.207
_cell_length_c 7.310
_cell_angle_alpha 90.00
_cell_angle_beta 110.58
_cell_angle_gamma 90.00
_symmetry_space_group_name_H-M 'C 1 2/m 1'
_symmetry_Int_Tables_number 12
_symmetry_space_group_name_Hall '-C 2y'
loop_
_atom_site_label
_atom_site_type_symbol
_atom_site_fract_x
_atom_site_fract_y
_atom_site_fract_z
Mg1 Mg 0.000 0.000 0.000
Mg2 Mg 0.139 0.500 0.363
Mg3 Mg 0.164 0.500 0.792
Ni1 Ni 0.000 0.000 0.500
```



The structure with the least stability is *i*.



*i*
Here is a relaxed Mg7Ni crystal from Alexandria via LeMat-Bulk. Energies are from PBE.

Computed properties:
The value obtained for the density of states at the Fermi level is 14.4 states/eV/cell. For the volume, the calculation gives 20.2 Å³/atom. Its crystal system is cubic.

The structure in CIF format:
```
data_Mg7Ni
_chemical_formula_sum 'Mg28 Ni4'
_cell_length_a 8.652
_cell_length_b 8.652
_cell_length_c 8.652
_cell_angle_alpha 90.00
_cell_angle_beta 90.00
_cell_angle_gamma 90.00
_symmetry_space_group_name_H-M 'F m -3 m'
_symmetry_Int_Tables_number 225
_symmetry_space_group_name_Hall '-F 4 2 3'
loop_
_atom_site_label
_atom_site_type_symbol
_atom_site_fract_x
_atom_site_fract_y
_atom_site_fract_z
Mg1 Mg 0.000 0.000 0.000
Mg2 Mg 0.000 0.250 0.250
Ni1 Ni 0.000 0.000 0.500
```



*ii*
Here is a relaxed Mg7Ni crystal from Alexandria via LeMat-Bulk. Energies are from PBE.

Computed properties:
The value obtained for the density of states at the Fermi level is 2.7 states/eV/cell. For the volume, the calculation gives 20.1 Å³/atom. Its crystal system is hexagonal.

The structure in CIF format:
```
data_Mg7Ni
_chemical_formula_sum 'Mg7 Ni1'
_cell_length_a 6.1876
_cell_length_b 6.1876
_cell_length_c 4.8570
_cell_angle_alpha 90.00
_cell_angle_beta 90.00
_cell_angle_gamma 120.00
_symmetry_space_group_name_H-M 'P -6 m 2'
_symmetry_Int_Tables_number 187
_symmetry_space_group_name_Hall 'P -6 2'
loop_
_atom_site_label
_atom_site_type_symbol
_atom_site_fract_x
_atom_site_fract_y
_atom_site_fract_z
Mg1 Mg 0.0000 0.0000 0.0000
Mg2 Mg 0.0175 0.5088 0.0000
Mg3 Mg 0.3334 0.1667 0.5000
Ni1 Ni 0.3333 0.6667 0.5000
```



The structure with the least stability is *i*.



*i*
Here is a relaxed Mg3Ni2 crystal from Alexandria via LeMat-Bulk. Energies are from PBE.

Computed properties:
The value obtained for the density of states at the Fermi level is 2.7 states/eV/cell. For the volume, the calculation gives 17.1 Å³/atom. Its crystal system is trigonal.

The structure in CIF format:
```
data_Mg3Ni2
_chemical_formula_sum 'Mg3 Ni2'
_cell_length_a 4.3305
_cell_length_b 4.3305
_cell_length_c 5.2668
_cell_angle_alpha 90.00
_cell_angle_beta 90.00
_cell_angle_gamma 120.00
_symmetry_space_group_name_H-M 'P -3 m 1'
_symmetry_Int_Tables_number 164
_symmetry_space_group_name_Hall '-P 3 2"'
loop_
_atom_site_label
_atom_site_type_symbol
_atom_site_fract_x
_atom_site_fract_y
_atom_site_fract_z
Mg1 Mg 0.0000 0.0000 0.0000
Mg2 Mg 0.3333 0.6667 0.3527
Ni1 Ni 0.3333 0.6667 0.8704
```



*ii*
Here is a relaxed Mg3Ni2 crystal from Alexandria via LeMat-Bulk. Energies are from PBE.

Computed properties:
The value obtained for the density of states at the Fermi level is 11.3 states/eV/cell. For the volume, the calculation gives 16.1 Å³/atom. Its crystal system is trigonal.

The structure in CIF format:
```
data_Mg3Ni2
_chemical_formula_sum 'Mg9 Ni6'
_cell_length_a 2.9307
_cell_length_b 2.9307
_cell_length_c 32.5242
_cell_angle_alpha 90.00
_cell_angle_beta 90.00
_cell_angle_gamma 120.00
_symmetry_space_group_name_H-M 'R -3 m'
_symmetry_Int_Tables_number 166
_symmetry_space_group_name_Hall '-R 3 2"'
loop_
_atom_site_label
_atom_site_type_symbol
_atom_site_fract_x
_atom_site_fract_y
_atom_site_fract_z
Mg1 Mg 0.0000 0.0000 0.0000
Mg2 Mg 0.0000 0.0000 0.2093
Ni1 Ni 0.0000 0.0000 0.3962
```



*iii*
Here is a relaxed Mg3Ni2 crystal from Alexandria via LeMat-Bulk. Energies are from PBE.

Computed properties:
The value obtained for the density of states at the Fermi level is 20.5 states/eV/cell. For the volume, the calculation gives 16.2 Å³/atom. Its crystal system is orthorhombic.

The structure in CIF format:
```
data_Mg3Ni2
_chemical_formula_sum 'Mg24 Ni16'
_cell_length_a 11.798
_cell_length_b 19.380
_cell_length_c 2.832
_cell_angle_alpha 90.00
_cell_angle_beta 90.00
_cell_angle_gamma 90.00
_symmetry_space_group_name_H-M 'F d d 2'
_symmetry_Int_Tables_number 43
_symmetry_space_group_name_Hall 'F 2 -2d'
loop_
_atom_site_label
_atom_site_type_symbol
_atom_site_fract_x
_atom_site_fract_y
_atom_site_fract_z
Mg1 Mg 0.000 0.000 0.000
Mg2 Mg 0.080 0.357 0.742
Ni1 Ni 0.068 0.218 0.788
```



The structure with the least stability is *ii*.



*i*
Here is a relaxed Mg5Ni3 crystal from Alexandria via LeMat-Bulk. Energies are from PBE.

Computed properties:
The value obtained for the density of states at the Fermi level is 10.9 states/eV/cell. For the volume, the calculation gives 16.5 Å³/atom. Its crystal system is hexagonal.

The structure in CIF format:
```
data_Mg5Ni3
_chemical_formula_sum 'Mg10 Ni6'
_cell_length_a 7.5949
_cell_length_b 7.5949
_cell_length_c 5.2713
_cell_angle_alpha 90.00
_cell_angle_beta 90.00
_cell_angle_gamma 120.00
_symmetry_space_group_name_H-M 'P 63/m c m'
_symmetry_Int_Tables_number 193
_symmetry_space_group_name_Hall '-P 6c 2'
loop_
_atom_site_label
_atom_site_type_symbol
_atom_site_fract_x
_atom_site_fract_y
_atom_site_fract_z
Mg1 Mg 0.0000 0.2503 0.2500
Mg2 Mg 0.3333 0.6667 0.0000
Ni1 Ni 0.0000 0.4044 0.7500
```



*ii*
Here is a relaxed Mg5Ni3 crystal from Alexandria via LeMat-Bulk. Energies are from PBE.

Computed properties:
The value obtained for the density of states at the Fermi level is 7.9 states/eV/cell. For the volume, the calculation gives 15.8 Å³/atom. Its crystal system is orthorhombic.

The structure in CIF format:
```
data_Mg5Ni3
_chemical_formula_sum 'Mg10 Ni6'
_cell_length_a 7.068
_cell_length_b 8.488
_cell_length_c 4.224
_cell_angle_alpha 90.00
_cell_angle_beta 90.00
_cell_angle_gamma 90.00
_symmetry_space_group_name_H-M 'C m m m'
_symmetry_Int_Tables_number 65
_symmetry_space_group_name_Hall '-C 2 2'
loop_
_atom_site_label
_atom_site_type_symbol
_atom_site_fract_x
_atom_site_fract_y
_atom_site_fract_z
Mg1 Mg 0.000 0.000 0.000
Mg2 Mg 0.213 0.500 0.500
Mg3 Mg 0.250 0.250 0.000
Ni1 Ni 0.000 0.232 0.500
Ni2 Ni 0.000 0.500 0.000
```



*iii*
Here is a relaxed Mg5Ni3 crystal from Alexandria via LeMat-Bulk. Energies are from PBE.

Computed properties:
The value obtained for the density of states at the Fermi level is 7.4 states/eV/cell. For the volume, the calculation gives 16.4 Å³/atom. Its crystal system is triclinic.

The structure in CIF format:
```
data_Mg5Ni3
_chemical_formula_sum 'Mg10 Ni6'
_cell_length_a 5.287
_cell_length_b 7.407
_cell_length_c 7.419
_cell_angle_alpha 84.83
_cell_angle_beta 71.89
_cell_angle_gamma 71.68
_symmetry_space_group_name_H-M 'P -1'
_symmetry_Int_Tables_number 2
_symmetry_space_group_name_Hall '-P 1'
loop_
_atom_site_label
_atom_site_type_symbol
_atom_site_fract_x
_atom_site_fract_y
_atom_site_fract_z
Mg1 Mg 0.064 0.132 0.207
Mg2 Mg 0.213 0.713 0.353
Mg3 Mg 0.250 0.519 0.983
Mg4 Mg 0.287 0.148 0.787
Mg5 Mg 0.434 0.294 0.367
Ni1 Ni 0.083 0.511 0.661
Ni2 Ni 0.251 0.003 0.496
Ni3 Ni 0.416 0.840 0.989
```



The structure with the least stability is *ii*.



*i*
Here is a relaxed Mg3Ni4 crystal from Alexandria via LeMat-Bulk. Energies are from PBE.

Computed properties:
The value obtained for the density of states at the Fermi level is 8.6 states/eV/cell. For the volume, the calculation gives 14.9 Å³/atom. Its crystal system is hexagonal.

The structure in CIF format:
```
data_Mg3Ni4
_chemical_formula_sum 'Mg3 Ni4'
_cell_length_a 5.1919
_cell_length_b 5.1919
_cell_length_c 4.4598
_cell_angle_alpha 90.00
_cell_angle_beta 90.00
_cell_angle_gamma 120.00
_symmetry_space_group_name_H-M 'P 6/m m m'
_symmetry_Int_Tables_number 191
_symmetry_space_group_name_Hall '-P 6 2'
loop_
_atom_site_label
_atom_site_type_symbol
_atom_site_fract_x
_atom_site_fract_y
_atom_site_fract_z
Mg1 Mg 0.0000 0.5000 0.0000
Ni1 Ni 0.0000 0.0000 0.2538
Ni2 Ni 0.3333 0.6667 0.5000
```



*ii*
Here is a relaxed Mg3Ni4 crystal from Alexandria via LeMat-Bulk. Energies are from PBE.

Computed properties:
The value obtained for the density of states at the Fermi level is 20.2 states/eV/cell. For the volume, the calculation gives 14.3 Å³/atom. Its crystal system is tetragonal.

The structure in CIF format:
```
data_Mg3Ni4
_chemical_formula_sum 'Mg6 Ni8'
_cell_length_a 2.924
_cell_length_b 2.924
_cell_length_c 23.424
_cell_angle_alpha 90.00
_cell_angle_beta 90.00
_cell_angle_gamma 90.00
_symmetry_space_group_name_H-M 'I 4/m m m'
_symmetry_Int_Tables_number 139
_symmetry_space_group_name_Hall '-I 4 2'
loop_
_atom_site_label
_atom_site_type_symbol
_atom_site_fract_x
_atom_site_fract_y
_atom_site_fract_z
Mg1 Mg 0.000 0.000 0.000
Mg2 Mg 0.000 0.000 0.304
Ni1 Ni 0.000 0.000 0.126
Ni2 Ni 0.000 0.000 0.429
```



The structure with the least stability is *i*.